Below is a geometry-optimized SrDySc4S8 structure, with properties calculated at the GGA-PBE level.

Cell: 7.7931 7.7931 7.9270 Å, 60.56 60.56 60.00°
With the nearest neighbours (Å) after each atom.
Sites, in units of the cell vectors:
Sr  0.3705  0.3705  0.8884  4 S 2.73-2.74
Dy  0.0016  0.0016  0.9952  6 S 2.69-2.79
Sc  0.6260  0.6260  0.1219  4 S 2.51-2.56
Sc  0.0013  0.4950  0.5023  6 S 2.55-2.72
Sc  0.4950  0.0013  0.5023  6 S 2.55-2.72
Sc  0.0013  0.0013  0.5023  6 S 2.55-2.72
S  0.2416  0.7975  0.7193  2 Sc 2.55, 1 Dy 2.69, 1 Sr 2.73
S  0.7975  0.2416  0.7193  2 Sc 2.55, 1 Dy 2.69, 1 Sr 2.73
S  0.2416  0.2416  0.7193  2 Sc 2.55, 1 Dy 2.69, 1 Sr 2.73
S  0.2308  0.2308  0.3076  3 Sc 2.56, 1 Sr 2.74
S  0.7513  0.2331  0.2643  3 Sc 2.51-2.71, 1 Dy 2.79
S  0.2331  0.7513  0.2643  3 Sc 2.51-2.71, 1 Dy 2.79
S  0.7513  0.7513  0.2643  3 Sc 2.51-2.71, 1 Dy 2.79
S  0.7570  0.7570  0.7291  4 Sc 2.56-2.72

Calculated values
Total DFT energy (no corrections) = -6.482 eV per atom
Volume = 343 Å³ per cell
Raw formation energy = -1.865 eV per atom
Size of the total moment = 0.00 μB/f.u.
DOS(E_F) = 0.3975 states/eV per atom